Entry 1:
The following is a DFT calculation (GGA-PBE) of a relaxed structure of LiSc2Be2Pt5.

Cell and atoms, written as POSCAR:
```
LiSc2Be2Pt5
1.0
3.339 0.000 0.000
0.000 9.303 0.000
0.000 0.000 9.303
Pt Be Li Sc
10 4 2 4
Direct
0.500 0.071 0.792 Pt
0.500 0.000 0.500 Pt
0.500 0.208 0.071 Pt
0.500 0.571 0.708 Pt
0.500 0.708 0.429 Pt
0.500 0.929 0.208 Pt
0.500 0.792 0.929 Pt
0.500 0.429 0.292 Pt
0.500 0.292 0.571 Pt
0.500 0.500 0.000 Pt
0.000 0.875 0.375 Be
0.000 0.375 0.125 Be
0.000 0.625 0.875 Be
0.000 0.125 0.625 Be
0.000 0.500 0.500 Li
0.000 0.000 0.000 Li
0.000 0.824 0.676 Sc
0.000 0.324 0.824 Sc
0.000 0.676 0.176 Sc
0.000 0.176 0.324 Sc
```

ΔH_f (0 K)   -944 kJ/mol of formula units
Theoretical density   12.5 Mg/m³


Entry 2:
The following is a DFT calculation (GGA-PBE) of a relaxed structure of Na4Ag2Sn5.

Cell and atoms, written as POSCAR:
```
Na4Ag2Sn5
1.0
-1.303 2.434 -1.650
-1.038 -4.781 -6.233
-9.621 -2.247 4.283
Ag Sn Na
2 5 4
Direct
0.000 0.947 0.367 Ag
0.000 0.053 0.633 Ag
0.000 0.200 0.178 Sn
0.000 0.800 0.822 Sn
0.000 0.420 0.708 Sn
0.000 0.500 0.000 Sn
0.000 0.580 0.292 Sn
0.500 0.280 0.449 Na
0.500 0.844 0.109 Na
0.500 0.156 0.891 Na
0.500 0.720 0.551 Na
```

ΔH_f (0 K)   -108 kJ/mol of formula units
Theoretical density   5.5 Mg/m³


Entry 3:
The following is a DFT calculation (GGA-PBE) of a relaxed structure of LaZnGa3.

Cell and atoms, written as POSCAR:
```
LaZnGa3
1.0
-4.069 1.577 0.257
-1.292 -3.651 2.029
-1.531 1.162 5.830
La Zn Ga
1 1 3
Direct
0.401 0.204 0.903 La
0.021 0.825 0.663 Zn
0.649 0.952 0.408 Ga
0.149 0.452 0.408 Ga
0.788 0.591 0.129 Ga
```

ΔH_f (0 K)   -254 kJ/mol of formula units
Theoretical density   6.8 Mg/m³